No. 1
Material: KTcPt
Method: DFT, PBE-GGA
State: relaxed

Geometry as POSCAR:
```
KTcPt
1.0
-9.962 2.598 0.834
-3.415 -2.988 -0.838
2.262 -2.237 3.343
K Tc Pt
2 2 2
Cartesian
-3.601 -1.576 2.022
-7.514 -1.051 1.317
-0.816 -3.696 1.772
-0.337 -1.529 0.733
-11.609 -0.694 0.177
0.495 -1.934 3.162
```

Calculated values
- energy above the most stable polymorph in this dataset (meV per atom) = 158
- formation enthalpy at 0 K (eV/atom) = 0.297
- magnetic moment (μB/f.u.) = 0.00



No. 2
Material: KTcPt
Method: DFT, PBE-GGA
State: relaxed

Geometry as POSCAR:
```
KTcPt
1.0
3.631 -2.096 0.000
0.000 4.192 0.000
0.000 0.000 5.532
K Tc Pt
1 1 1
Cartesian
2.420 0.000 2.766
0.000 0.000 0.000
1.210 2.096 0.000
```

Calculated values
- energy above the most stable polymorph in this dataset (meV per atom) = 590
- formation enthalpy at 0 K (eV/atom) = 0.730
- magnetic moment (μB/f.u.) = 0.47



No. 3
Material: KTcPt
Method: DFT, PBE-GGA
State: relaxed

Geometry as POSCAR:
```
KTcPt
1.0
6.786 0.064 0.000
5.064 4.518 0.000
-5.925 -2.291 2.388
K Pt Tc
1 1 1
Cartesian
11.794 4.560 0.000
3.414 1.320 0.000
8.492 3.283 0.000
```

Calculated values
- energy above the most stable polymorph in this dataset (meV per atom) = 495
- formation enthalpy at 0 K (eV/atom) = 0.635
- magnetic moment (μB/f.u.) = 1.42